#one
K2SnP after structural relaxation, computed with PBE.

POSCAR file:
```
K2SnP
1.0
-0.560 -5.558 -0.475
-1.264 -3.085 4.507
-5.067 -2.356 0.453
P K Sn
1 2 1
Cartesian
0.000 0.000 0.000 P
-1.723 -2.750 1.121 K
-5.168 -8.249 3.364 K
-3.445 -5.499 2.243 Sn
```

Computed properties:
N(E_F)   2.95 states/eV/f.u.
Space-group type   Fm-3m, No. 225
M_tot   0.636 μB/cell

#two
K2SnP after structural relaxation, computed with PBE.

POSCAR file:
```
K2SnP
1.0
12.269 0.000 0.000
0.000 12.269 0.000
6.134 6.134 2.597
P K Sn
2 4 2
Cartesian
6.134 6.134 0.000 P
6.134 12.269 1.298 P
6.852 3.067 0.649 K
5.417 9.201 0.649 K
9.201 11.551 1.948 K
15.336 12.986 1.948 K
0.000 0.000 0.000 Sn
12.269 6.134 1.298 Sn
```

Computed properties:
N(E_F)   2.26 states/eV/f.u.
Space-group type   I-42d, No. 122
M_tot   0.000 μB/cell

Energetically preferred structure: #two | next structure: +256 meV per atom

#one
KSrP2 after structural relaxation, computed with PBE.

POSCAR file:
```
KSrP2
1.0
4.724 0.000 0.000
0.000 4.724 0.000
0.000 0.000 4.417
K P Sr
1 2 1
Cartesian
0.000 2.362 2.208 K
0.000 0.000 0.000 P
2.362 2.362 0.000 P
2.362 0.000 2.208 Sr
```

Computed properties:
N(E_F)   1.89 states/eV/f.u.
Space-group type   P4/mmm, No. 123
M_tot   0.000 μB/cell

#two
KSrP2 after structural relaxation, computed with PBE.

POSCAR file:
```
KSrP2
1.0
-2.644 -1.061 -3.118
-0.187 -4.407 1.658
-4.384 -0.829 4.001
K P Sr
1 2 1
Cartesian
-5.139 -4.612 3.068 K
-0.175 -0.782 0.415 P
-2.415 -1.018 -0.466 P
-1.771 -2.504 2.354 Sr
```

Computed properties:
N(E_F)   0.93 states/eV/f.u.
Space-group type   Amm2, No. 38
M_tot   0.000 μB/cell

Energetically preferred structure: #two | next structure: +300 meV per atom

#one
KSrP2 after structural relaxation, computed with PBE.

POSCAR file:
```
KSrP2
1.0
-0.856 -9.285 -2.094
2.931 -8.909 -1.834
0.845 -9.428 1.318
K P Sr
1 2 1
Cartesian
2.190 -20.717 -1.957 K
2.905 -27.486 -2.596 P
1.474 -13.948 -1.317 P
0.730 -6.906 -0.652 Sr
```

Computed properties:
N(E_F)   1.86 states/eV/f.u.
Space-group type   R-3m, No. 166
M_tot   0.000 μB/cell

#two
KSrP2 after structural relaxation, computed with PBE.

POSCAR file:
```
KSrP2
1.0
-2.230 2.230 5.250
2.230 -2.230 5.250
2.230 2.230 -5.250
K Sr P
1 1 2
Cartesian
0.000 2.230 2.625 K
0.000 0.000 5.250 Sr
0.000 0.000 0.000 P
2.230 0.000 2.625 P
```

Computed properties:
N(E_F)   4.55 states/eV/f.u.
Space-group type   I-4m2, No. 119
M_tot   0.613 μB/cell

Energetically preferred structure: #two | next structure: +34 meV per atom

#one
KSrP2 after structural relaxation, computed with PBE.

POSCAR file:
```
KSrP2
1.0
-3.683 4.138 -0.074
-3.875 -1.482 -3.672
2.048 -2.826 4.303
K P Sr
1 2 1
Cartesian
-2.707 1.320 1.178 K
0.000 0.000 0.000 P
-3.779 1.328 -1.873 P
-2.803 -1.490 -0.621 Sr
```

Computed properties:
N(E_F)   1.78 states/eV/f.u.
Space-group type   I4/mmm, No. 139
M_tot   0.000 μB/cell

#two
KSrP2 after structural relaxation, computed with PBE.

POSCAR file:
```
KSrP2
1.0
-0.696 -2.693 -4.414
-0.197 -5.212 0.128
-4.517 -2.462 -0.869
K P Sr
1 2 1
Cartesian
-2.705 -5.183 -2.577 K
0.000 0.000 0.000 P
-1.353 -2.592 -1.289 P
-4.058 -7.775 -3.866 Sr
```

Computed properties:
N(E_F)   2.45 states/eV/f.u.
Space-group type   F-43m, No. 216
M_tot   0.000 μB/cell

Energetically preferred structure: #one | next structure: +365 meV per atom

#one
KSrP2 after structural relaxation, computed with PBE.

POSCAR file:
```
KSrP2
1.0
-4.726 1.420 2.459
-0.045 -5.511 -0.154
1.541 -0.097 3.019
K P Sr
1 2 1
Cartesian
0.748 -2.804 1.432 K
0.000 0.000 0.000 P
-2.385 -2.046 1.152 P
-1.592 0.661 2.739 Sr
```

Computed properties:
N(E_F)   1.59 states/eV/f.u.
Space-group type   Cmmm, No. 65
M_tot   0.000 μB/cell

#two
KSrP2 after structural relaxation, computed with PBE.

POSCAR file:
```
KSrP2
1.0
-0.173 -5.807 1.775
3.150 -5.184 -0.324
2.077 2.232 3.952
K P Sr
1 2 1
Cartesian
1.035 -2.264 0.967 K
2.934 -10.444 1.544 P
3.858 -7.227 3.963 P
2.732 -4.193 3.082 Sr
```

Computed properties:
N(E_F)   1.20 states/eV/f.u.
Space-group type   Cm, No. 8
M_tot   0.000 μB/cell

#three
KSrP2 after structural relaxation, computed with PBE.

POSCAR file:
```
KSrP2
1.0
-0.100 -0.874 -3.250
2.636 -2.042 0.468
-5.575 -6.740 1.984
K P Sr
1 2 1
Cartesian
-2.913 -6.513 0.097 K
-0.088 -0.106 0.031 P
-2.699 -3.263 0.961 P
-0.126 -3.143 -0.895 Sr
```

Computed properties:
N(E_F)   2.25 states/eV/f.u.
Space-group type   P4/mmm, No. 123
M_tot   0.000 μB/cell

Energetically preferred structure: #two | next structure: +319 meV per atom

#one
KSrP2 after structural relaxation, computed with PBE.

POSCAR file:
```
KSrP2
1.0
-4.470 -1.313 3.159
-1.067 -3.481 4.292
-0.716 2.426 6.792
K P Sr
1 2 1
Cartesian
-1.563 -0.592 3.561 K
-6.118 -2.758 13.092 P
-3.262 -0.795 8.272 P
-4.690 -1.776 10.682 Sr
```

Computed properties:
N(E_F)   0.63 states/eV/f.u.
Space-group type   C2/m, No. 12
M_tot   0.000 μB/cell

#two
KSrP2 after structural relaxation, computed with PBE.

POSCAR file:
```
KSrP2
1.0
-0.131 -5.107 1.407
-4.509 -2.750 -0.423
-0.474 -3.758 -3.705
Sr K P
1 1 2
Cartesian
-2.557 -5.807 -1.361 Sr
0.000 0.000 0.000 K
-1.279 -2.904 -0.680 P
-3.836 -8.711 -2.041 P
```

Computed properties:
N(E_F)   3.36 states/eV/f.u.
Space-group type   Fm-3m, No. 225
M_tot   0.000 μB/cell

#three
KSrP2 after structural relaxation, computed with PBE.

POSCAR file:
```
KSrP2
1.0
-2.151 -2.969 2.117
3.404 -1.851 0.862
4.181 1.748 6.702
Sr K P
1 1 2
Cartesian
0.821 -1.510 2.949 Sr
4.614 -1.562 6.731 K
3.506 -1.543 1.399 P
3.690 -0.360 3.245 P
```

Computed properties:
N(E_F)   1.69 states/eV/f.u.
Space-group type   P2/m, No. 10
M_tot   0.000 μB/cell

#four
KSrP2 after structural relaxation, computed with PBE.

POSCAR file:
```
KSrP2
1.0
3.040 0.000 0.000
0.000 5.581 0.000
0.000 0.000 6.292
K P Sr
1 2 1
Cartesian
1.520 2.790 5.506 K
0.000 0.000 5.504 P
1.520 2.790 2.360 P
0.000 0.000 2.359 Sr
```

Computed properties:
N(E_F)   2.93 states/eV/f.u.
Space-group type   Pmmm, No. 47
M_tot   0.000 μB/cell

Energetically preferred structure: #three | next structure: +150 meV per atom